No. 1
Compound: KGe2H8
Source: Alexandria
Functional: PBE
Structure: optimized geometry

abc: 5.3031 5.3031 7.4703
angles: 117.32 117.32 60.80
Last column: nearest neighbours and their distance in Å.
Positions (direct):
K1 0.0000 0.0000 0.0000  10 H 2.75-3.01
Ge1 0.1981 0.1981 0.6556  4 H 1.57-1.59
Ge2 0.8019 0.8019 0.3444  4 H 1.57-1.59
H1 0.0942 0.5967 0.2665  1 Ge 1.59
H2 0.1837 0.1837 0.4340  1 Ge 1.59
H3 0.4008 0.4008 0.8026  1 Ge 1.57
H4 0.4033 0.9058 0.7335  1 Ge 1.59
H5 0.5967 0.0942 0.2665  1 Ge 1.59
H6 0.5992 0.5992 0.1974  1 Ge 1.57
H7 0.8163 0.8163 0.5660  1 Ge 1.59
H8 0.9058 0.4033 0.7335  1 Ge 1.59

Computed properties:
Crystal system: monoclinic

No. 2
Compound: KGe3H
Source: Alexandria
Functional: PBE
Structure: optimized geometry

abc: 4.5599 4.5599 4.5599
angles: 90.00 90.00 90.00
Last column: nearest neighbours and their distance in Å.
Positions (direct):
K1 0.0000 0.0000 0.0000  12 Ge 3.22
Ge1 0.0000 0.5000 0.5000  2 H 2.28
Ge2 0.5000 0.0000 0.5000  2 H 2.28
Ge3 0.5000 0.5000 0.0000  2 H 2.28
H1 0.5000 0.5000 0.5000  6 Ge 2.28

Computed properties:
ΔE to the lowest computed polymorph: 0 meV per atom
Crystal system: cubic

No. 3
Compound: KGeH2
Source: Alexandria
Functional: PBE
Structure: optimized geometry

abc: 4.8320 5.2189 6.7207
angles: 99.13 107.85 91.09
Last column: nearest neighbours and their distance in Å.
Positions (direct):
K1 0.0000 0.0000 0.0000  4 H 2.72-2.84
K2 0.2397 0.4574 0.5310  6 H 2.76-2.97
Ge1 0.5465 0.5740 0.0889  2 H 1.61-1.63
Ge2 0.7227 0.9197 0.4346  2 H 1.62-1.64
H1 0.3943 0.9545 0.4446  1 Ge 1.62
H2 0.5065 0.3196 0.1881  1 Ge 1.61
H3 0.7739 0.7157 0.6026  1 Ge 1.64
H4 0.8768 0.5079 0.0963  1 Ge 1.63

Computed properties:
ΔE to the lowest computed polymorph: 0 meV per atom
Crystal system: triclinic

No. 4
Compound: KGeH3
Source: Alexandria
Functional: PBE
Structure: optimized geometry

abc: 5.9973 5.9973 5.9973
angles: 66.23 66.23 66.23
Last column: nearest neighbours and their distance in Å.
Positions (direct):
K1 0.0000 0.0000 0.0000  6 H 2.83-2.97
K2 0.5000 0.5000 0.5000  6 H 2.83-2.97
Ge1 0.2555 0.2555 0.2555  3 H 1.62
Ge2 0.7555 0.7555 0.7555  3 H 1.62
H1 0.1646 0.9992 0.4059  1 Ge 1.62
H2 0.4059 0.1646 0.9992  1 Ge 1.62
H3 0.4992 0.6646 0.9059  1 Ge 1.62
H4 0.6646 0.9059 0.4992  1 Ge 1.62
H5 0.9059 0.4992 0.6646  1 Ge 1.62
H6 0.9992 0.4059 0.1646  1 Ge 1.62

Computed properties:
ΔE to the lowest computed polymorph: 24 meV per atom
Crystal system: trigonal

No. 5
Compound: K2GeH
Source: Alexandria
Functional: PBE
Structure: optimized geometry

abc: 7.6412 7.6412 8.8566
angles: 90.00 90.00 90.00
Last column: nearest neighbours and their distance in Å.
Positions (direct):
K1 0.1541 0.7500 0.1250  2 H 2.50
K2 0.2500 0.1541 0.8750  2 H 2.50
K3 0.2500 0.3459 0.3750  2 H 2.50
K4 0.3459 0.7500 0.6250  2 H 2.50
K5 0.6541 0.2500 0.6250  2 H 2.50
K6 0.7500 0.6541 0.3750  2 H 2.50
K7 0.7500 0.8459 0.8750  2 H 2.50
K8 0.8459 0.2500 0.1250  2 H 2.50
Ge1 0.0000 0.0000 0.5000  4 K 3.44
Ge2 0.0000 0.5000 0.7500  4 K 3.44
Ge3 0.5000 0.0000 0.2500  4 K 3.44
Ge4 0.5000 0.5000 0.0000  4 K 3.44
H1 0.0000 0.0000 0.0000  4 K 2.50
H2 0.0000 0.5000 0.2500  4 K 2.50
H3 0.5000 0.0000 0.7500  4 K 2.50
H4 0.5000 0.5000 0.5000  4 K 2.50

Computed properties:
ΔE to the lowest computed polymorph: 0 meV per atom
Crystal system: tetragonal

No. 6
Compound: KGeH2
Source: Alexandria
Functional: PBE
Structure: optimized geometry

abc: 4.9438 4.9438 11.5514
angles: 90.00 90.00 90.00
Last column: nearest neighbours and their distance in Å.
Positions (direct):
K1 0.0000 0.0000 0.0000  8 H 2.99-3.25
K2 0.0000 0.5000 0.2500  8 H 2.99-3.25
K3 0.5000 0.0000 0.7500  8 H 2.99-3.25
K4 0.5000 0.5000 0.5000  8 H 2.99-3.25
Ge1 0.0000 0.0000 0.5000  4 H 1.91
Ge2 0.0000 0.5000 0.7500  4 H 1.91
Ge3 0.5000 0.0000 0.2500  4 H 1.91
Ge4 0.5000 0.5000 0.0000  4 H 1.91
H1 0.0341 0.2500 0.6250  2 Ge 1.91
H2 0.2500 0.5341 0.8750  2 Ge 1.91
H3 0.2500 0.9659 0.3750  2 Ge 1.91
H4 0.4659 0.2500 0.1250  2 Ge 1.91
H5 0.5341 0.7500 0.1250  2 Ge 1.91
H6 0.7500 0.0341 0.3750  2 Ge 1.91
H7 0.7500 0.4659 0.8750  2 Ge 1.91
H8 0.9659 0.7500 0.6250  2 Ge 1.91

Computed properties:
ΔE to the lowest computed polymorph: 380 meV per atom
Crystal system: tetragonal

No. 7
Compound: KGe3H
Source: Alexandria
Functional: PBE
Structure: optimized geometry

abc: 5.7808 5.7808 5.7808
angles: 90.00 90.00 90.00
Last column: nearest neighbours and their distance in Å.
Positions (direct):
K1 0.0000 0.0000 0.0000  6 Ge 2.89
Ge1 0.0000 0.0000 0.5000  2 K 2.89
Ge2 0.0000 0.5000 0.0000  2 K 2.89
Ge3 0.5000 0.0000 0.0000  2 K 2.89
H1 0.5000 0.5000 0.5000  12 Ge 4.09

Computed properties:
ΔE to the lowest computed polymorph: 1508 meV per atom
Crystal system: cubic

No. 8
Compound: K3GeH
Source: Alexandria
Functional: PBE
Structure: optimized geometry

abc: 7.9682 7.9682 7.9682
angles: 56.62 56.62 56.62
Last column: nearest neighbours and their distance in Å.
Positions (direct):
K1 0.0870 0.0870 0.5750  2 H 2.70-2.79
K2 0.0870 0.5750 0.0870  2 H 2.70-2.79
K3 0.4250 0.9130 0.9130  2 H 2.70-2.79
K4 0.5750 0.0870 0.0870  2 H 2.70-2.79
K5 0.9130 0.4250 0.9130  2 H 2.70-2.79
K6 0.9130 0.9130 0.4250  2 H 2.70-2.79
Ge1 0.4404 0.4404 0.4404  1 Ge 2.38
Ge2 0.5596 0.5596 0.5596  1 Ge 2.38
H1 0.1669 0.1669 0.1669  6 K 2.70-2.79
H2 0.8331 0.8331 0.8331  6 K 2.70-2.79

Computed properties:
ΔE to the lowest computed polymorph: 0 meV per atom
Crystal system: trigonal

No. 9
Compound: KGeH2
Source: Alexandria
Functional: PBE
Structure: optimized geometry

abc: 6.2815 6.2815 6.2815
angles: 90.00 90.00 90.00
Last column: nearest neighbours and their distance in Å.
Positions (direct):
K1 0.0000 0.0000 0.0000  8 H 2.72
K2 0.0000 0.5000 0.5000  8 H 2.72
K3 0.5000 0.0000 0.5000  8 H 2.72
K4 0.5000 0.5000 0.0000  8 H 2.72
Ge1 0.0000 0.0000 0.5000  8 H 2.72
Ge2 0.0000 0.5000 0.0000  8 H 2.72
Ge3 0.5000 0.0000 0.0000  8 H 2.72
Ge4 0.5000 0.5000 0.5000  8 H 2.72
H1 0.2500 0.2500 0.2500  4 Ge 2.72, 4 K 2.72
H2 0.2500 0.2500 0.7500  4 Ge 2.72, 4 K 2.72
H3 0.2500 0.7500 0.2500  4 Ge 2.72, 4 K 2.72
H4 0.2500 0.7500 0.7500  4 Ge 2.72, 4 K 2.72
H5 0.7500 0.2500 0.2500  4 Ge 2.72, 4 K 2.72
H6 0.7500 0.2500 0.7500  4 Ge 2.72, 4 K 2.72
H7 0.7500 0.7500 0.2500  4 Ge 2.72, 4 K 2.72
H8 0.7500 0.7500 0.7500  4 Ge 2.72, 4 K 2.72

Computed properties:
ΔE to the lowest computed polymorph: 779 meV per atom
Crystal system: cubic

No. 10
Compound: KGeH3
Source: Alexandria
Functional: PBE
Structure: optimized geometry

abc: 7.2504 4.6698 5.3696
angles: 90.00 90.00 90.00
Last column: nearest neighbours and their distance in Å.
Positions (direct):
K1 0.0000 0.1727 0.0000  6 H 2.72-2.93
K2 0.5000 0.8273 0.5000  6 H 2.72-2.93
Ge1 0.0000 0.6769 0.4849  3 H 1.61-1.62
Ge2 0.5000 0.3231 0.9849  3 H 1.61-1.62
H1 0.0000 0.3337 0.5134  1 Ge 1.61
H2 0.1577 0.7126 0.6958  1 Ge 1.62
H3 0.3423 0.2874 0.1958  1 Ge 1.62
H4 0.5000 0.6663 0.0134  1 Ge 1.61
H5 0.6577 0.2874 0.1958  1 Ge 1.62
H6 0.8423 0.7126 0.6958  1 Ge 1.62

Computed properties:
ΔE to the lowest computed polymorph: 0 meV per atom
Crystal system: orthorhombic

No. 11
Compound: KGeH3
Source: Alexandria
Functional: PBE
Structure: optimized geometry

abc: 4.3488 4.3488 4.3488
angles: 90.00 90.00 90.00
Last column: nearest neighbours and their distance in Å.
Positions (direct):
K1 0.0000 0.0000 0.0000  6 H 2.17
Ge1 0.5000 0.5000 0.5000  12 H 3.08
H1 0.0000 0.0000 0.5000  2 K 2.17
H2 0.0000 0.5000 0.0000  2 K 2.17
H3 0.5000 0.0000 0.0000  2 K 2.17

Computed properties:
ΔE to the lowest computed polymorph: 1226 meV per atom
Crystal system: cubic

No. 12
Compound: K2Ge2H5
Source: Alexandria
Functional: PBE
Structure: optimized geometry

abc: 6.8971 6.8971 5.5001
angles: 90.18 90.18 40.34
Last column: nearest neighbours and their distance in Å.
Positions (direct):
K1 0.0000 0.0000 0.0000  6 H 2.83-2.85
K2 0.7455 0.7455 0.4977  8 H 2.79-2.99
Ge1 0.2886 0.2886 0.9975  2 H 1.64
Ge2 0.4745 0.4745 0.5003  3 H 1.51-1.53
H1 0.2000 0.2000 0.2086  1 Ge 1.64
H2 0.1998 0.1998 0.7855  1 Ge 1.64
H3 0.3582 0.3582 0.4982  1 Ge 1.51
H4 0.5383 0.5383 0.2673  1 Ge 1.53
H5 0.5380 0.5380 0.7348  1 Ge 1.53

Computed properties:
Crystal system: monoclinic

| no. | final energy (eV/atom) | DOS(E_F) (states/eV/f.u.) |
| --- | --- | --- |
| 1 | -3.248 | 1.94 |
| 2 | -3.213 | 1.83 |
| 3 | -3.256 | 0.00 |
| 4 | -3.268 | 0.00 |
| 5 | -2.237 | 0.57 |
| 6 | -2.876 | 2.40 |
| 7 | -1.706 | 4.26 |
| 8 | -2.262 | 1.36 |
| 9 | -2.477 | 1.30 |
| 10 | -3.293 | 0.00 |
| 11 | -2.067 | 0.30 |
| 12 | -3.052 | 2.01 |